First-principles (GGA+U) data for a relaxed YTcNi2F crystal, as listed in the Alexandria database.

```
YTcNi2F
1.0
4.592 0.000 0.000
0.000 4.592 0.000
0.000 0.000 4.108
Y Tc Ni F
1 1 2 1
Cartesian
0.000 0.000 0.000 Y
2.296 2.296 2.054 Tc
0.000 2.296 2.054 Ni
2.296 0.000 2.054 Ni
2.296 2.296 0.000 F
```

Summary:
Crystal system   tetragonal
Mass density   6.2 g/cm³
Final energy   -4.398 eV per atom